# GGA-PBE Ho4AgRu2, optimized geometry
# ΔE_f in eV/atom: -0.3206
# Excess energy over the best structure of this formula in the dataset in eV/atom: 0.019
# Theoretical density in kg/m³: 10005
# Crystal system: triclinic
# Space-group type: P1, No. 1
data_Ho4AgRu2
_symmetry_space_group_name_H-M 'P 1'
_symmetry_Int_Tables_number 1
_symmetry_space_group_name_Hall 'P 1'
_cell_length_a 6.7217
_cell_length_b 7.5502
_cell_length_c 7.8789
_cell_angle_alpha 111.42
_cell_angle_beta 107.38
_cell_angle_gamma 105.47
loop_
_atom_site_label
_atom_site_type_symbol
_atom_site_fract_x
_atom_site_fract_y
_atom_site_fract_z
Ho1 Ho 0.0000 0.0000 0.0000
Ho2 Ho 0.0049 0.3149 0.4432
Ho3 Ho 0.1213 0.6215 0.2434
Ho4 Ho 0.2705 0.0253 0.6801
Ho5 Ho 0.4684 0.8516 0.0077
Ho6 Ho 0.5821 0.4655 0.2349
Ho7 Ho 0.6837 0.4936 0.7999
Ho8 Ho 0.7116 0.9661 0.5628
Ag1 Ag 0.1378 0.3844 0.8662
Ag2 Ag 0.3944 0.1404 0.3769
Ru1 Ru 0.4292 0.6694 0.6006
Ru2 Ru 0.7289 0.2130 0.9777
Ru3 Ru 0.8727 0.8569 0.2652
Ru4 Ru 0.9505 0.6905 0.6422

# GGA-PBE HoScAgRu, optimized geometry
# ΔE_f in eV/atom: -0.4625
# Excess energy over the best structure of this formula in the dataset in eV/atom: 0.000
# Theoretical density in kg/m³: 8658
# Crystal system: tetragonal
# Space-group type: P4mm, No. 99
data_HoScAgRu
_symmetry_space_group_name_H-M 'P 1'
_symmetry_Int_Tables_number 1
_symmetry_space_group_name_Hall 'P 1'
_cell_length_a 3.3156
_cell_length_b 3.3156
_cell_length_c 7.3074
_cell_angle_alpha 90.00
_cell_angle_beta 90.00
_cell_angle_gamma 90.00
loop_
_atom_site_label
_atom_site_type_symbol
_atom_site_fract_x
_atom_site_fract_y
_atom_site_fract_z
Ho1 Ho 0.0000 0.0000 0.0000
Sc1 Sc 0.0000 0.0000 0.5597
Ag1 Ag 0.5000 0.5000 0.3000
Ru1 Ru 0.5000 0.5000 0.7626

# GGA-PBE HoScAgRu, optimized geometry
# ΔE_f in eV/atom: -0.3796
# Excess energy over the best structure of this formula in the dataset in eV/atom: 0.083
# Theoretical density in kg/m³: 8809
# Crystal system: cubic
# Space-group type: F-43m, No. 216
data_HoScAgRu
_symmetry_space_group_name_H-M 'P 1'
_symmetry_Int_Tables_number 1
_symmetry_space_group_name_Hall 'P 1'
_cell_length_a 6.8098
_cell_length_b 6.8098
_cell_length_c 6.8098
_cell_angle_alpha 90.00
_cell_angle_beta 90.00
_cell_angle_gamma 90.00
loop_
_atom_site_label
_atom_site_type_symbol
_atom_site_fract_x
_atom_site_fract_y
_atom_site_fract_z
Ho1 Ho 0.0000 0.0000 0.0000
Ho2 Ho 0.0000 0.5000 0.5000
Ho3 Ho 0.5000 0.0000 0.5000
Ho4 Ho 0.5000 0.5000 0.0000
Sc1 Sc 0.0000 0.0000 0.5000
Sc2 Sc 0.0000 0.5000 0.0000
Sc3 Sc 0.5000 0.0000 0.0000
Sc4 Sc 0.5000 0.5000 0.5000
Ag1 Ag 0.2500 0.2500 0.7500
Ag2 Ag 0.2500 0.7500 0.2500
Ag3 Ag 0.7500 0.2500 0.2500
Ag4 Ag 0.7500 0.7500 0.7500
Ru1 Ru 0.2500 0.2500 0.2500
Ru2 Ru 0.2500 0.7500 0.7500
Ru3 Ru 0.7500 0.2500 0.7500
Ru4 Ru 0.7500 0.7500 0.2500

# GGA-PBE HoThAgRu, optimized geometry
# ΔE_f in eV/atom: -0.2661
# Theoretical density in kg/m³: 10967
# Crystal system: cubic
# Space-group type: F-43m, No. 216
data_HoThAgRu
_symmetry_space_group_name_H-M 'P 1'
_symmetry_Int_Tables_number 1
_symmetry_space_group_name_Hall 'P 1'
_cell_length_a 7.1594
_cell_length_b 7.1594
_cell_length_c 7.1594
_cell_angle_alpha 90.00
_cell_angle_beta 90.00
_cell_angle_gamma 90.00
loop_
_atom_site_label
_atom_site_type_symbol
_atom_site_fract_x
_atom_site_fract_y
_atom_site_fract_z
Ho1 Ho 0.0000 0.0000 0.0000
Ho2 Ho 0.0000 0.5000 0.5000
Ho3 Ho 0.5000 0.0000 0.5000
Ho4 Ho 0.5000 0.5000 0.0000
Th1 Th 0.0000 0.0000 0.5000
Th2 Th 0.0000 0.5000 0.0000
Th3 Th 0.5000 0.0000 0.0000
Th4 Th 0.5000 0.5000 0.5000
Ag1 Ag 0.2500 0.2500 0.2500
Ag2 Ag 0.2500 0.7500 0.7500
Ag3 Ag 0.7500 0.2500 0.7500
Ag4 Ag 0.7500 0.7500 0.2500
Ru1 Ru 0.2500 0.2500 0.7500
Ru2 Ru 0.2500 0.7500 0.2500
Ru3 Ru 0.7500 0.2500 0.2500
Ru4 Ru 0.7500 0.7500 0.7500

# GGA-PBE Ho2Zn5AgRu2, optimized geometry
# ΔE_f in eV/atom: -0.1883
# Theoretical density in kg/m³: 8946
# Crystal system: tetragonal
# Space-group type: P4/mbm, No. 127
data_Ho2Zn5AgRu2
_symmetry_space_group_name_H-M 'P 1'
_symmetry_Int_Tables_number 1
_symmetry_space_group_name_Hall 'P 1'
_cell_length_a 9.4207
_cell_length_b 9.4207
_cell_length_c 4.0447
_cell_angle_alpha 90.00
_cell_angle_beta 90.00
_cell_angle_gamma 90.00
loop_
_atom_site_label
_atom_site_type_symbol
_atom_site_fract_x
_atom_site_fract_y
_atom_site_fract_z
Ho1 Ho 0.1753 0.3247 0.0000
Ho2 Ho 0.3247 0.8247 0.0000
Ho3 Ho 0.6753 0.1753 0.0000
Ho4 Ho 0.8247 0.6753 0.0000
Zn1 Zn 0.0000 0.5000 0.5000
Zn2 Zn 0.0606 0.7942 0.5000
Zn3 Zn 0.2058 0.0606 0.5000
Zn4 Zn 0.2942 0.5606 0.5000
Zn5 Zn 0.4394 0.2942 0.5000
Zn6 Zn 0.5000 0.0000 0.5000
Zn7 Zn 0.5606 0.7058 0.5000
Zn8 Zn 0.7058 0.4394 0.5000
Zn9 Zn 0.7942 0.9394 0.5000
Zn10 Zn 0.9394 0.2058 0.5000
Ag1 Ag 0.0000 0.0000 0.0000
Ag2 Ag 0.5000 0.5000 0.0000
Ru1 Ru 0.1233 0.6233 0.0000
Ru2 Ru 0.3767 0.1233 0.0000
Ru3 Ru 0.6233 0.8767 0.0000
Ru4 Ru 0.8767 0.3767 0.0000

# GGA-PBE HoAg2S2, optimized geometry
# Theoretical density in kg/m³: 7133
# Crystal system: monoclinic
# Space-group type: C2/c, No. 15
# Electronic total energy in eV per cell: -43.9
data_HoAg2S2
_symmetry_space_group_name_H-M 'P 1'
_symmetry_Int_Tables_number 1
_symmetry_space_group_name_Hall 'P 1'
_cell_length_a 5.4615
_cell_length_b 5.4615
_cell_length_c 7.8445
_cell_angle_alpha 109.25
_cell_angle_beta 109.25
_cell_angle_gamma 77.69
loop_
_atom_site_label
_atom_site_type_symbol
_atom_site_fract_x
_atom_site_fract_y
_atom_site_fract_z
Ho1 Ho 0.1450 0.8550 0.7500
Ho2 Ho 0.8550 0.1450 0.2500
Ag1 Ag 0.0000 0.5000 0.0000
Ag2 Ag 0.5000 0.0000 0.5000
Ag3 Ag 0.5000 0.5000 0.0000
Ag4 Ag 0.5000 0.5000 0.5000
S1 S 0.1340 0.2847 0.6325
S2 S 0.2847 0.1340 0.1325
S3 S 0.7153 0.8660 0.8675
S4 S 0.8660 0.7153 0.3675

# GGA-PBE Ho2AgS3, optimized geometry
# Theoretical density in kg/m³: 6357
# Crystal system: orthorhombic
# Space-group type: Cmmm, No. 65
# Electronic total energy in eV per cell: -64.8
data_Ho2AgS3
_symmetry_space_group_name_H-M 'P 1'
_symmetry_Int_Tables_number 1
_symmetry_space_group_name_Hall 'P 1'
_cell_length_a 5.4097
_cell_length_b 13.1936
_cell_length_c 3.9080
_cell_angle_alpha 90.00
_cell_angle_beta 90.00
_cell_angle_gamma 90.00
loop_
_atom_site_label
_atom_site_type_symbol
_atom_site_fract_x
_atom_site_fract_y
_atom_site_fract_z
Ho1 Ho 0.0000 0.1438 0.0000
Ho2 Ho 0.0000 0.8562 0.0000
Ho3 Ho 0.5000 0.3562 0.0000
Ho4 Ho 0.5000 0.6438 0.0000
Ag1 Ag 0.0000 0.5000 0.5000
Ag2 Ag 0.5000 0.0000 0.5000
S1 S 0.0000 0.0000 0.5000
S2 S 0.0000 0.3444 0.0000
S3 S 0.0000 0.6556 0.0000
S4 S 0.5000 0.1556 0.0000
S5 S 0.5000 0.5000 0.5000
S6 S 0.5000 0.8444 0.0000

# GGA-PBE Ho3Ag5S12, optimized geometry
# Theoretical density in kg/m³: 5260
# Crystal system: cubic
# Space-group type: Ia-3d, No. 230
# Electronic total energy in eV per cell: -351.4
data_Ho3Ag5S12
_symmetry_space_group_name_H-M 'P 1'
_symmetry_Int_Tables_number 1
_symmetry_space_group_name_Hall 'P 1'
_cell_length_a 13.2523
_cell_length_b 13.2523
_cell_length_c 13.2523
_cell_angle_alpha 109.47
_cell_angle_beta 109.47
_cell_angle_gamma 109.47
loop_
_atom_site_label
_atom_site_type_symbol
_atom_site_fract_x
_atom_site_fract_y
_atom_site_fract_z
Ho1 Ho 0.1250 0.2500 0.3750
Ho2 Ho 0.1250 0.3750 0.7500
Ho3 Ho 0.2500 0.3750 0.1250
Ho4 Ho 0.2500 0.8750 0.6250
Ho5 Ho 0.3750 0.1250 0.2500
Ho6 Ho 0.3750 0.7500 0.1250
Ho7 Ho 0.6250 0.2500 0.8750
Ho8 Ho 0.6250 0.8750 0.7500
Ho9 Ho 0.7500 0.1250 0.3750
Ho10 Ho 0.7500 0.6250 0.8750
Ho11 Ho 0.8750 0.6250 0.2500
Ho12 Ho 0.8750 0.7500 0.6250
Ag1 Ag 0.0000 0.0000 0.0000
Ag2 Ag 0.0000 0.0000 0.5000
Ag3 Ag 0.0000 0.5000 0.0000
Ag4 Ag 0.0000 0.5000 0.5000
Ag5 Ag 0.1250 0.7500 0.8750
Ag6 Ag 0.1250 0.8750 0.2500
Ag7 Ag 0.2500 0.1250 0.8750
Ag8 Ag 0.2500 0.6250 0.3750
Ag9 Ag 0.3750 0.2500 0.6250
Ag10 Ag 0.3750 0.6250 0.7500
Ag11 Ag 0.5000 0.0000 0.0000
Ag12 Ag 0.5000 0.0000 0.5000
Ag13 Ag 0.5000 0.5000 0.0000
Ag14 Ag 0.5000 0.5000 0.5000
Ag15 Ag 0.6250 0.3750 0.2500
Ag16 Ag 0.6250 0.7500 0.3750
Ag17 Ag 0.7500 0.3750 0.6250
Ag18 Ag 0.7500 0.8750 0.1250
Ag19 Ag 0.8750 0.1250 0.7500
Ag20 Ag 0.8750 0.2500 0.1250
S1 S 0.0478 0.2155 0.1357
S2 S 0.0478 0.3323 0.9121
S3 S 0.0798 0.7155 0.6677
S4 S 0.0798 0.8643 0.4121
S5 S 0.0879 0.6357 0.4202
S6 S 0.0879 0.9522 0.6677
S7 S 0.1357 0.0478 0.2155
S8 S 0.1357 0.5879 0.9202
S9 S 0.1677 0.2155 0.5798
S10 S 0.1677 0.4522 0.5879
S11 S 0.2155 0.1357 0.0478
S12 S 0.2155 0.5798 0.1677
S13 S 0.2845 0.3323 0.9202
S14 S 0.2845 0.4522 0.3643
S15 S 0.3323 0.9121 0.0478
S16 S 0.3323 0.9202 0.2845
S17 S 0.3643 0.2845 0.4522
S18 S 0.3643 0.5798 0.9121
S19 S 0.4121 0.0798 0.8643
S20 S 0.4121 0.8323 0.5478
S21 S 0.4202 0.0879 0.6357
S22 S 0.4202 0.8323 0.7845
S23 S 0.4522 0.3643 0.2845
S24 S 0.4522 0.5879 0.1677
S25 S 0.5478 0.4121 0.8323
S26 S 0.5478 0.6357 0.7155
S27 S 0.5798 0.1677 0.2155
S28 S 0.5798 0.9121 0.3643
S29 S 0.5879 0.1677 0.4522
S30 S 0.5879 0.9202 0.1357
S31 S 0.6357 0.4202 0.0879
S32 S 0.6357 0.7155 0.5478
S33 S 0.6677 0.0798 0.7155
S34 S 0.6677 0.0879 0.9522
S35 S 0.7155 0.5478 0.6357
S36 S 0.7155 0.6677 0.0798
S37 S 0.7845 0.4202 0.8323
S38 S 0.7845 0.8643 0.9522
S39 S 0.8323 0.5478 0.4121
S40 S 0.8323 0.7845 0.4202
S41 S 0.8643 0.4121 0.0798
S42 S 0.8643 0.9522 0.7845
S43 S 0.9121 0.0478 0.3323
S44 S 0.9121 0.3643 0.5798
S45 S 0.9202 0.1357 0.5879
S46 S 0.9202 0.2845 0.3323
S47 S 0.9522 0.6677 0.0879
S48 S 0.9522 0.7845 0.8643

Question: Which value of theoretical density does entry 3 give?
Answer: 8809 kg/m³

Question: Which formula does entry 2 have?
Answer: HoScAgRu